--- i ---
Density functional theory data (PBE-GGA) for an optimized crystal structure of Te2CSe2.

a = 3.6693 Å, b = 3.6693 Å, c = 9.5209 Å
α = 78.89°, β = 78.89°, γ = 90.00°
Closest atoms and distances in Å follow each position.
Sites, in units of the cell vectors:
C 0.0000 0.0000 0.0000  8 Te 2.91
Te 0.4279 0.4279 0.1442  1 Te 2.64, 4 C 2.91
Te 0.5721 0.5721 0.8558  1 Te 2.64, 4 C 2.91
Se 0.7500 0.2500 0.5000  4 Se 2.59
Se 0.2500 0.7500 0.5000  4 Se 2.59

Summary:
Total magnetization (μB/cell): 0.4
Fermi-level density of states (states/eV per cell): 1.68

---

--- ii ---
Density functional theory data (PBE-GGA) for an optimized crystal structure of Te2CSe2.

a = 7.0709 Å, b = 7.0709 Å, c = 4.5297 Å
α = 90.00°, β = 90.00°, γ = 90.00°
Closest atoms and distances in Å follow each position.
Sites, in units of the cell vectors:
C 0.0000 0.0000 0.0000  4 Te 2.56
C 0.5000 0.5000 0.0000  4 Te 2.56
Te 0.3029 0.8029 0.0000  2 C 2.56, 2 Se 2.71
Te 0.8029 0.6971 0.0000  2 C 2.56, 2 Se 2.71
Te 0.6971 0.1971 0.0000  2 C 2.56, 2 Se 2.71
Te 0.1971 0.3029 0.0000  2 C 2.56, 2 Se 2.71
Se 0.1535 0.6535 0.5000  2 Te 2.71
Se 0.6535 0.8465 0.5000  2 Te 2.71
Se 0.8465 0.3465 0.5000  2 Te 2.71
Se 0.3465 0.1535 0.5000  2 Te 2.71

Summary:
Total magnetization (μB/cell): 1.9
Fermi-level density of states (states/eV per cell): 3.52

---

So which one is most stable? That would be ii, about 5.8 kJ/mol of atoms below the next structure.